# 1
Computed, not measured: a geometry-optimized FeSiPt2 structure at the PBE-GGA level of DFT.

a = 2.8477 Å, b = 2.8477 Å, c = 24.6353 Å
α = 90.00°, β = 90.00°, γ = 120.00°
Space group R-3m (No. 166, hexagonal axes)
One atom of each set of equivalent atoms:
Fe 0.0000 0.0000 0.0000
Si 0.0000 0.0000 0.5000
Pt 0.0000 0.0000 0.2453

Computed properties:
**Uncorrected formation energy**: -0.231 eV/atom
**Crystal system**: trigonal



# 2
Computed, not measured: a geometry-optimized FeSiPt2 structure at the PBE-GGA level of DFT.

a = 3.7754 Å, b = 2.7957 Å, c = 10.7961 Å
α = 90.00°, β = 90.00°, γ = 90.00°
Space group Amm2 (No. 38)
One atom of each set of equivalent atoms:
Fe 0.0000 0.0000 0.0000
Si 0.5000 0.0000 0.4050
Pt 0.0000 0.0000 0.2717
Pt 0.5000 0.0000 0.6231

Computed properties:
**Uncorrected formation energy**: -0.361 eV/atom
**Crystal system**: orthorhombic



# 3
Computed, not measured: a geometry-optimized Fe4SiPt structure at the PBE-GGA level of DFT.

a = 6.7064 Å, b = 6.7064 Å, c = 6.7064 Å
α = 90.00°, β = 90.00°, γ = 90.00°
Space group F-43m (No. 216)
One atom of each set of equivalent atoms:
Fe 0.1242 0.1242 0.3758
Si 0.2500 0.2500 0.7500
Pt 0.0000 0.0000 0.0000

Computed properties:
**Uncorrected formation energy**: 0.061 eV/atom
**Crystal system**: cubic



# 4
Computed, not measured: a geometry-optimized FeSi2Pt2 structure at the PBE-GGA level of DFT.

a = 6.7945 Å, b = 6.7945 Å, c = 3.0798 Å
α = 90.00°, β = 90.00°, γ = 90.00°
Space group P4/mbm (No. 127)
One atom of each set of equivalent atoms:
Fe 0.0000 0.0000 0.0000
Si 0.1518 0.3482 0.0000
Pt 0.1475 0.6475 0.5000

Computed properties:
**Uncorrected formation energy**: -0.276 eV/atom
**Crystal system**: tetragonal



# 5
Computed, not measured: a geometry-optimized FeSiPt structure at the PBE-GGA level of DFT.

a = 2.8636 Å, b = 2.8636 Å, c = 9.4273 Å
α = 90.00°, β = 90.00°, γ = 90.00°
Space group I4mm (No. 107)
One atom of each set of equivalent atoms:
Fe 0.0000 0.0000 0.0000
Si 0.0000 0.0000 0.6261
Pt 0.0000 0.0000 0.2956

Computed properties:
**Uncorrected formation energy**: -0.289 eV/atom
**Crystal system**: tetragonal



# 6
Computed, not measured: a geometry-optimized FeSiPt structure at the PBE-GGA level of DFT.

a = 2.7872 Å, b = 2.7872 Å, c = 5.9961 Å
α = 90.00°, β = 90.00°, γ = 120.00°
Space group P3m1 (No. 156)
One atom of each set of equivalent atoms:
Fe 0.0000 0.0000 0.0000
Si 0.3333 0.6667 0.6963
Pt 0.6667 0.3333 0.3648

Computed properties:
**Uncorrected formation energy**: -0.177 eV/atom
**Crystal system**: trigonal